Record 1
PBE PH2, relaxed; energy = -3.6173 eV/atom; symmetry = No. 71
1.0
-1.094 2.156 3.550
1.094 -2.156 3.550
1.094 2.156 -3.550
P H
1 2
Direct
0.000 0.000 0.000
0.354 0.000 0.354
0.646 0.000 0.646

=====

Record 2
PBE Pm3Th2Ga4, relaxed; formation enthalpy at 0 K = -0.326 eV/atom; symmetry = No. 64
1.0
3.376 -8.578 0.000
3.376 8.578 0.000
0.000 0.000 8.389
Pm Th Ga
6 4 8
Direct
0.000 0.000 0.000
0.032 0.468 0.250
0.468 0.032 0.750
0.500 0.500 0.500
0.532 0.968 0.250
0.968 0.532 0.750
0.101 0.899 0.415
0.399 0.601 0.915
0.601 0.399 0.085
0.899 0.101 0.585
0.171 0.829 0.059
0.204 0.296 0.250
0.296 0.204 0.750
0.329 0.671 0.559
0.671 0.329 0.441
0.704 0.796 0.250
0.796 0.704 0.750
0.829 0.171 0.941

=====

Record 3
PBE NbCrHRh2, relaxed; energy = -7.7629 eV/atom; symmetry = No. 123
1.0
3.888 0.000 0.000
0.000 3.888 0.000
0.000 0.000 3.958
Nb Cr H Rh
1 1 1 2
Direct
0.000 0.000 0.000
0.500 0.500 0.000
0.500 0.500 0.500
0.000 0.500 0.500
0.500 0.000 0.500

=====

Record 4
PBE MnBi2Pt, relaxed; formation enthalpy at 0 K = 0.275 eV/atom; symmetry = No. 122
1.0
-2.378 2.378 8.910
2.378 -2.378 8.910
2.378 2.378 -8.910
Mn Bi Pt
2 4 2
Direct
0.000 0.000 0.000
0.750 0.250 0.500
0.127 0.625 0.002
0.375 0.377 0.502
0.623 0.125 0.998
0.875 0.873 0.498
0.250 0.750 0.500
0.500 0.500 0.000

=====

Record 5
PBE SrTm2Tl3Te6, relaxed; ΔE_f (raw) = -0.982 eV per atom; symmetry = No. 12
1.0
3.934 -6.821 0.000
3.934 6.821 0.000
-2.662 0.000 7.929
Sr Tm Tl Te
1 2 3 6
Direct
0.000 0.000 0.000
0.330 0.670 0.000
0.670 0.330 0.000
0.159 0.841 0.500
0.500 0.500 0.500
0.841 0.159 0.500
0.075 0.431 0.221
0.287 0.287 0.788
0.431 0.075 0.221
0.569 0.925 0.779
0.713 0.713 0.212
0.925 0.569 0.779

=====

Record 6
PBE LuZrIn2, relaxed; formation enthalpy at 0 K = -0.314 eV/atom; symmetry = No. 123
1.0
4.629 0.000 0.000
0.000 4.629 0.000
0.000 0.000 4.379
Lu Zr In
1 1 2
Direct
0.000 0.000 0.000
0.500 0.500 0.000
0.000 0.500 0.500
0.500 0.000 0.500

=====

Record 7
PBE CeSi7Ru3, relaxed; ΔE_f (raw) = -0.570 eV per atom; symmetry = No. 167
1.0
3.831 2.212 6.673
-3.831 2.212 6.673
0.000 -4.424 6.673
Ce Si Ru
2 14 6
Direct
0.000 0.000 0.000
0.500 0.500 0.500
0.062 0.854 0.669
0.146 0.331 0.938
0.169 0.354 0.562
0.250 0.250 0.250
0.331 0.938 0.146
0.354 0.562 0.169
0.438 0.831 0.646
0.562 0.169 0.354
0.646 0.438 0.831
0.669 0.062 0.854
0.750 0.750 0.750
0.831 0.646 0.438
0.854 0.669 0.062
0.938 0.146 0.331
0.078 0.750 0.422
0.250 0.578 0.922
0.422 0.078 0.750
0.578 0.922 0.250
0.750 0.422 0.078
0.922 0.250 0.578

=====

Record 8
PBE NpTlAs2, relaxed; formation enthalpy at 0 K = -0.175 eV/atom; symmetry = No. 160
1.0
2.158 1.246 6.686
-2.158 1.246 6.686
0.000 -2.492 6.686
Np Tl As
1 1 2
Direct
0.000 0.000 0.000
0.170 0.170 0.170
0.395 0.395 0.395
0.595 0.595 0.595

=====

Record 9
PBE Pr14TmPb, relaxed; formation enthalpy at 0 K = -0.057 eV/atom; symmetry = No. 123
1.0
7.316 0.000 0.000
0.000 7.316 0.000
0.000 0.000 10.416
Pr Tm Pb
14 1 1
Direct
0.000 0.000 0.000
0.000 0.500 0.000
0.000 0.500 0.500
0.249 0.249 0.256
0.249 0.249 0.744
0.249 0.751 0.256
0.249 0.751 0.744
0.500 0.000 0.000
0.500 0.000 0.500
0.500 0.500 0.000
0.751 0.249 0.256
0.751 0.249 0.744
0.751 0.751 0.256
0.751 0.751 0.744
0.500 0.500 0.500
0.000 0.000 0.500

=====

Record 10
PBE Tb4Pm3Y3, relaxed; formation enthalpy at 0 K = 0.084 eV/atom; symmetry = No. 38
1.0
3.721 0.000 0.000
0.000 6.665 6.699
0.000 -6.665 6.699
Tb Pm Y
4 3 3
Direct
0.000 0.000 0.000
0.000 0.254 0.254
0.000 0.501 0.754
0.000 0.754 0.501
0.500 0.299 0.954
0.500 0.454 0.454
0.500 0.954 0.299
0.000 0.123 0.628
0.000 0.628 0.123
0.500 0.799 0.799

=====

Record 11
PBE SrLaCo3, relaxed; formation enthalpy at 0 K = 1.407 eV/atom; symmetry = No. 221
1.0
4.914 0.000 0.000
0.000 4.914 0.000
0.000 0.000 4.914
Sr La Co
1 1 3
Direct
0.000 0.000 0.000
0.500 0.500 0.500
0.000 0.000 0.500
0.000 0.500 0.000
0.500 0.000 0.000

=====

Record 12
PBE Tm8SiGe3S4, relaxed; ΔE_f (raw) = -1.396 eV per atom; symmetry = No. 166
1.0
3.981 2.298 6.537
-3.981 2.298 6.537
0.000 -4.597 6.537
Tm Si Ge S
8 1 3 4
Direct
0.249 0.249 0.249
0.251 0.251 0.749
0.251 0.749 0.251
0.251 0.749 0.749
0.749 0.251 0.251
0.749 0.251 0.749
0.749 0.749 0.251
0.751 0.751 0.751
0.500 0.500 0.500
0.000 0.000 0.500
0.000 0.500 0.000
0.500 0.000 0.000
0.000 0.000 0.000
0.000 0.500 0.500
0.500 0.000 0.500
0.500 0.500 0.000

=====

Record 13
PBE Co2BiAs2, relaxed; formation enthalpy at 0 K = 0.011 eV/atom; symmetry = No. 139
1.0
-2.103 2.103 4.822
2.103 -2.103 4.822
2.103 2.103 -4.822
Co Bi As
2 1 2
Direct
0.250 0.750 0.500
0.750 0.250 0.500
0.000 0.000 0.000
0.363 0.363 0.000
0.637 0.637 0.000

=====

Record 14
PBE Pu2SnSe6, relaxed; ΔE_f (raw) = -0.784 eV per atom; symmetry = No. 136
1.0
6.526 0.000 0.000
0.000 6.526 0.000
0.000 0.000 12.735
Pu Sn Se
4 2 12
Direct
0.000 0.000 0.166
0.000 0.000 0.834
0.500 0.500 0.334
0.500 0.500 0.666
0.000 0.000 0.500
0.500 0.500 0.000
0.195 0.195 0.335
0.195 0.195 0.665
0.196 0.196 0.000
0.304 0.696 0.500
0.305 0.695 0.165
0.305 0.695 0.835
0.695 0.305 0.165
0.695 0.305 0.835
0.696 0.304 0.500
0.804 0.804 0.000
0.805 0.805 0.335
0.805 0.805 0.665

=====

Record 15
PBE Ta4Mn5W, relaxed; formation enthalpy at 0 K = -0.175 eV/atom; symmetry = No. 123
1.0
3.047 0.000 0.000
0.000 3.047 0.000
0.000 0.000 15.257
Ta Mn W
4 5 1
Direct
0.000 0.000 0.100
0.000 0.000 0.301
0.000 0.000 0.699
0.000 0.000 0.900
0.500 0.500 0.000
0.500 0.500 0.202
0.500 0.500 0.403
0.500 0.500 0.597
0.500 0.500 0.798
0.000 0.000 0.500

=====

Record 16
PBE Th4Te2AsS, relaxed; ΔE_f (raw) = -1.341 eV per atom; symmetry = No. 10
1.0
7.300 0.000 0.000
0.000 4.263 0.000
-2.487 0.000 7.307
Th Te As S
4 2 1 1
Direct
0.227 0.000 0.210
0.251 0.500 0.785
0.749 0.500 0.215
0.773 0.000 0.790
0.000 0.000 0.500
0.500 0.500 0.500
0.500 0.000 0.000
0.000 0.500 0.000

=====

Record 17
PBE SrReAs2, relaxed; formation enthalpy at 0 K = 0.109 eV/atom; symmetry = No. 225
1.0
0.000 3.363 3.363
3.363 0.000 3.363
3.363 3.363 0.000
Sr Re As
1 1 2
Direct
0.000 0.000 0.000
0.500 0.500 0.500
0.250 0.250 0.250
0.750 0.750 0.750

=====

Record 18
PBE Ba3Hg8, relaxed; formation enthalpy at 0 K = -0.426 eV/atom; symmetry = No. 71
1.0
-2.233 2.577 15.483
2.233 -2.577 15.483
2.233 2.577 -15.483
Ba Hg
3 8
Direct
0.000 0.000 0.000
0.352 0.852 0.500
0.648 0.148 0.500
0.095 0.595 0.500
0.190 0.690 0.500
0.256 0.256 0.000
0.451 0.451 0.000
0.549 0.549 0.000
0.744 0.744 0.000
0.810 0.310 0.500
0.905 0.405 0.500

=====

Record 19
PBE TbY3Ir, relaxed; formation enthalpy at 0 K = -0.332 eV/atom; symmetry = No. 31
1.0
7.665 0.000 0.000
0.000 6.535 0.000
0.000 0.000 6.199
Tb Y Ir
2 6 2
Direct
0.000 0.153 0.000
0.500 0.847 0.500
0.000 0.846 0.494
0.250 0.313 0.498
0.250 0.687 0.998
0.500 0.154 0.994
0.750 0.313 0.498
0.750 0.687 0.998
0.000 0.500 0.749
0.500 0.500 0.249

=====

Record 20
PBE NiSe, relaxed; ΔE_f (raw) = 0.076 eV per atom; symmetry = No. 129
1.0
4.448 0.000 0.000
0.000 4.448 0.000
0.000 0.000 3.920
Ni Se
2 2
Direct
0.250 0.250 0.207
0.750 0.750 0.793
0.250 0.750 0.000
0.750 0.250 0.000

=====

no.,total magnetization (μB/f.u.)
1,0.0
2,0.0
3,0.0
4,4.1
5,0.0
6,0.0
7,0.0
8,2.7
9,0.0
10,0.0
11,3.6
12,0.0
13,1.1
14,8.0
15,0.0
16,0.0
17,0.0
18,0.0
19,0.0
20,0.0